{"formula": "SrRuBr3", "functional": "GGA-PBEsol", "state": "relaxed", "formation_energy_uncorrected_ev_per_fu": -3.3, "final_energy_ev_per_cell": -21.0, "sg": "Pm-3m, No. 221", "dos_ef_per_ev_cell": 4.76, "cell": [[5.015, 0.000, 0.000], [0.000, 5.015, 0.000], [0.000, 0.000, 5.015]], "species": ["Sr", "Ru", "Br", "Br", "Br"], "frac_coords": [[0.000, 0.000, 0.000], [0.500, 0.500, 0.500], [0.000, 0.500, 0.500], [0.500, 0.000, 0.500], [0.500, 0.500, 0.000]]}